Record 1
VASP calculation (SCAN) on a crystal of La3Y relaxed with PBEsol.

Cell: 3.6138 3.6138 10.1246 Å, 90.00 90.00 90.00°
With the nearest neighbours (Å) after each atom.
Atoms (fractional coordinates):
La  0.0000  0.0000  0.0000  12 La 3.61
La  0.5000  0.5000  0.2513  4 Y 3.59, 8 La 3.61
La  0.5000  0.5000  0.7487  4 Y 3.59, 8 La 3.61
Y  0.0000  0.0000  0.5000  8 La 3.59, 4 Y 3.61

## Properties
SG = P4/mmm (123)
Formation energy = 0.03 eV/atom

=====

Record 2
VASP calculation (SCAN) on a crystal of KOsPb2 relaxed with PBEsol.

Cell: 3.2548 4.2772 16.1972 Å, 90.00 90.00 90.00°
With the nearest neighbours (Å) after each atom.
Atoms (fractional coordinates):
K  0.0000  0.0000  0.0000  2 K 3.25, 2 Pb 3.51
K  0.5000  0.5000  0.5000  2 K 3.25, 2 Pb 3.51
Os  0.0000  0.5000  0.7101  6 Pb 2.74-2.76
Os  0.5000  0.0000  0.2101  6 Pb 2.74-2.76
Pb  0.0000  0.0000  0.3465  2 Os 2.74
Pb  0.0000  0.5000  0.1718  4 Os 2.76
Pb  0.5000  0.0000  0.6718  4 Os 2.76
Pb  0.5000  0.5000  0.8465  2 Os 2.74

## Properties
SG = Imm2 (44)
Relative energy among the computed polymorphs = 15 meV/atom
Formation energy = 0.47 eV/atom

=====

Record 3
VASP calculation (SCAN) on a crystal of SiRhN2F relaxed with PBEsol.

Cell: 3.6651 3.6651 3.3793 Å, 90.00 90.00 90.00°
With the nearest neighbours (Å) after each atom.
Atoms (fractional coordinates):
Si  0.0000  0.0000  0.0000  2 F 1.69, 4 N 1.83
Rh  0.5000  0.5000  0.5000  8 N 2.49, 4 F 2.59
N  0.0000  0.5000  0.0000  2 Si 1.83
N  0.5000  0.0000  0.0000  2 Si 1.83
F  0.0000  0.0000  0.5000  2 Si 1.69

## Properties
SG = P4/mmm (123)
Raw formation energy = -0.1291 eV/atom

=====

Record 4
VASP calculation (SCAN) on a crystal of CaY relaxed with PBEsol.

Cell: 3.6582 3.6582 10.4144 Å, 90.00 90.00 90.00°
With the nearest neighbours (Å) after each atom.
Atoms (fractional coordinates):
Ca  0.2500  0.2500  0.1396  8 Ca 3.66-3.89, 4 Y 3.69
Ca  0.7500  0.7500  0.8604  8 Ca 3.66-3.89, 4 Y 3.69
Y  0.2500  0.2500  0.6072  8 Y 3.42-3.66, 4 Ca 3.69
Y  0.7500  0.7500  0.3928  8 Y 3.42-3.66, 4 Ca 3.69

## Properties
SG = P4/nmm (129)
Relative energy among the computed polymorphs = 10 meV/atom
Formation energy = 0.07 eV/atom

=====

Record 5
VASP calculation (SCAN) on a crystal of Cr2SbAs relaxed with PBEsol.

Cell: 3.7315 3.7315 5.7234 Å, 90.00 90.00 120.00°
With the nearest neighbours (Å) after each atom.
Atoms (fractional coordinates):
Cr  0.0000  0.0000  0.2319  3 As 2.53, 3 Sb 2.65, 1 Cr 2.65
Cr  0.0000  0.0000  0.7681  3 As 2.53, 3 Sb 2.65, 1 Cr 2.65
Sb  0.6667  0.3333  0.5000  6 Cr 2.65
As  0.3333  0.6667  0.0000  6 Cr 2.53

## Properties
SG = P-6m2 (187)
Raw formation energy = -0.2272 eV/atom

=====

Record 6
VASP calculation (SCAN) on a crystal of ZnCu relaxed with PBEsol.

Cell: 2.5993 2.5993 8.5020 Å, 90.00 90.00 120.00°
With the nearest neighbours (Å) after each atom.
Atoms (fractional coordinates):
Zn  0.3333  0.6667  0.1357  3 Cu 2.57, 9 Zn 2.60-2.75
Zn  0.6667  0.3333  0.8643  3 Cu 2.57, 9 Zn 2.60-2.75
Cu  0.3333  0.6667  0.6184  9 Cu 2.51-2.60, 3 Zn 2.57
Cu  0.6667  0.3333  0.3816  9 Cu 2.51-2.60, 3 Zn 2.57

## Properties
SG = P-3m1 (164)
Formation energy = -0.03 eV/atom

=====

Record 7
VASP calculation (SCAN) on a crystal of BaSrIn2 relaxed with PBEsol.

Cell: 4.0520 5.4908 6.0179 Å, 90.00 90.00 90.00°
With the nearest neighbours (Å) after each atom.
Atoms (fractional coordinates):
Ba  0.0000  0.0000  0.0000  8 In 3.51-3.75, 2 Sr 3.68
Sr  0.0000  0.5000  0.5940  8 In 3.42-3.84, 2 Ba 3.68
In  0.5000  0.0000  0.4763  2 In 3.43, 4 Sr 3.48, 4 Ba 3.51-3.75
In  0.5000  0.5000  0.1352  4 Sr 3.42-3.84, 2 In 3.43, 4 Ba 3.51

## Properties
SG = Pmm2 (25)
Formation energy = -0.54 eV/atom

=====

Record 8
VASP calculation (SCAN) on a crystal of La2ReSi relaxed with PBEsol.

Cell: 3.4869 3.4869 27.3504 Å, 90.00 90.00 120.00°
With the nearest neighbours (Å) after each atom.
Atoms (fractional coordinates):
La  0.0000  0.0000  0.2467  3 Re 2.97, 3 Si 3.11
La  0.0000  0.0000  0.7533  3 Re 2.97, 3 Si 3.11
La  0.3333  0.6667  0.4200  3 Re 2.97, 3 Si 3.11
La  0.3333  0.6667  0.9134  3 Re 2.97, 3 Si 3.11
La  0.6667  0.3333  0.0866  3 Re 2.97, 3 Si 3.11
La  0.6667  0.3333  0.5800  3 Re 2.97, 3 Si 3.11
Re  0.0000  0.0000  0.5000  6 La 2.97
Re  0.3333  0.6667  0.1667  6 La 2.97
Re  0.6667  0.3333  0.8333  6 La 2.97
Si  0.0000  0.0000  0.0000  6 La 3.11
Si  0.3333  0.6667  0.6667  6 La 3.11
Si  0.6667  0.3333  0.3333  6 La 3.11

## Properties
SG = R-3m (166)
Raw formation energy = 0.4326 eV/atom